[1]
Here is a geometry-optimized SrGdRhAu structure from Alexandria. Energies are from PBE-GGA.

Cell: 5.1174 5.1174 5.1174 Å, 60.00 60.00 60.00°
Closest atoms and distances in Å follow each position.
Atoms (fractional coordinates):
Gd  0.7500  0.7500  0.7500  4 Rh 3.13, 4 Au 3.13
Rh  0.5000  0.5000  0.5000  4 Gd 3.13, 4 Sr 3.13
Sr  0.2500  0.2500  0.2500  4 Rh 3.13, 4 Au 3.13
Au  0.0000  0.0000  0.0000  4 Sr 3.13, 4 Gd 3.13

Output
space-group type: F-43m, No. 216
energy relative to the elements: -54.6 kJ per mole of atoms
DOS at the Fermi energy: 0.671 states/eV/atom

***

[2]
Here is a geometry-optimized TbGdRhAu structure from Alexandria. Energies are from PBE-GGA.

Cell: 5.0114 5.0114 5.0114 Å, 60.00 60.00 60.00°
Closest atoms and distances in Å follow each position.
Atoms (fractional coordinates):
Gd  0.0000  0.0000  0.0000  4 Au 3.07, 4 Rh 3.07
Tb  0.5000  0.5000  0.5000  4 Au 3.07, 4 Rh 3.07
Rh  0.2500  0.2500  0.2500  4 Gd 3.07, 4 Tb 3.07
Au  0.7500  0.7500  0.7500  4 Tb 3.07, 4 Gd 3.07

Output
space-group type: F-43m, No. 216
energy relative to the elements: -76.8 kJ per mole of atoms
DOS at the Fermi energy: 0.918 states/eV/atom

***

[3]
Here is a geometry-optimized GdTmRhAu structure from Alexandria. Energies are from PBE-GGA.

Cell: 4.9698 4.9698 4.9698 Å, 60.00 60.00 60.00°
Closest atoms and distances in Å follow each position.
Atoms (fractional coordinates):
Gd  0.7500  0.7500  0.7500  4 Au 3.04, 4 Rh 3.04
Au  0.5000  0.5000  0.5000  4 Gd 3.04, 4 Tm 3.04
Rh  0.0000  0.0000  0.0000  4 Tm 3.04, 4 Gd 3.04
Tm  0.2500  0.2500  0.2500  4 Rh 3.04, 4 Au 3.04

Output
space-group type: F-43m, No. 216
energy relative to the elements: -79.7 kJ per mole of atoms
DOS at the Fermi energy: 0.825 states/eV/atom

***

[4]
Here is a geometry-optimized Gd2RuAu structure from Alexandria. Energies are from PBE-GGA.

Cell: 3.9387 3.9387 9.1889 Å, 77.62 77.62 60.00°
Closest atoms and distances in Å follow each position.
Atoms (fractional coordinates):
Gd  0.8914  0.8914  0.3258  3 Ru 2.75, 1 Au 2.90
Au  0.0000  0.0000  0.0000  2 Gd 2.90
Ru  0.5000  0.5000  0.5000  6 Gd 2.75
Gd  0.1086  0.1086  0.6742  3 Ru 2.75, 1 Au 2.90

Output
space-group type: R-3m, No. 166
energy relative to the elements: -1.2 kJ per mole of atoms
DOS at the Fermi energy: 0.398 states/eV/atom

***

[5]
Here is a geometry-optimized Gd2RuAu structure from Alexandria. Energies are from PBE-GGA.

Cell: 3.4579 3.4579 7.3992 Å, 90.00 90.00 90.00°
Closest atoms and distances in Å follow each position.
Atoms (fractional coordinates):
Ru  0.5000  0.5000  0.0000  8 Gd 2.98
Au  0.5000  0.5000  0.5000  8 Gd 3.16, 4 Au 3.46
Gd  0.0000  0.0000  0.2302  4 Ru 2.98, 4 Au 3.16
Gd  0.0000  0.0000  0.7698  4 Ru 2.98, 4 Au 3.16

Output
space-group type: P4/mmm, No. 123
energy relative to the elements: -57.6 kJ per mole of atoms
DOS at the Fermi energy: 0.633 states/eV/atom

***

[6]
Here is a geometry-optimized SmGdRuAu structure from Alexandria. Energies are from PBE-GGA.

Cell: 5.0256 5.0256 5.0256 Å, 60.00 60.00 60.00°
Closest atoms and distances in Å follow each position.
Atoms (fractional coordinates):
Au  0.2500  0.2500  0.2500  4 Sm 3.08, 4 Gd 3.08
Ru  0.7500  0.7500  0.7500  4 Gd 3.08, 4 Sm 3.08
Gd  0.5000  0.5000  0.5000  4 Au 3.08, 4 Ru 3.08
Sm  0.0000  0.0000  0.0000  4 Ru 3.08, 4 Au 3.08

Output
space-group type: F-43m, No. 216
energy relative to the elements: -48.4 kJ per mole of atoms
DOS at the Fermi energy: 0.683 states/eV/atom

***

[7]
Here is a geometry-optimized TbGdRuAu structure from Alexandria. Energies are from PBE-GGA.

Cell: 4.9834 4.9834 4.9834 Å, 60.00 60.00 60.00°
Closest atoms and distances in Å follow each position.
Atoms (fractional coordinates):
Gd  0.5000  0.5000  0.5000  4 Ru 3.05, 4 Au 3.05
Tb  0.0000  0.0000  0.0000  4 Au 3.05, 4 Ru 3.05
Ru  0.7500  0.7500  0.7500  4 Gd 3.05, 4 Tb 3.05
Au  0.2500  0.2500  0.2500  4 Gd 3.05, 4 Tb 3.05

Output
space-group type: F-43m, No. 216
energy relative to the elements: -52.7 kJ per mole of atoms
DOS at the Fermi energy: 0.589 states/eV/atom

***

[8]
Here is a geometry-optimized GdYRuAu structure from Alexandria. Energies are from PBE-GGA.

Cell: 4.9804 4.9804 4.9804 Å, 60.00 60.00 60.00°
Closest atoms and distances in Å follow each position.
Atoms (fractional coordinates):
Gd  0.0000  0.0000  0.0000  4 Ru 3.05, 4 Au 3.05
Y  0.5000  0.5000  0.5000  4 Au 3.05, 4 Ru 3.05
Au  0.2500  0.2500  0.2500  4 Gd 3.05, 4 Y 3.05
Ru  0.7500  0.7500  0.7500  4 Gd 3.05, 4 Y 3.05

Output
space-group type: F-43m, No. 216
energy relative to the elements: -52.8 kJ per mole of atoms
DOS at the Fermi energy: 0.558 states/eV/atom

***

[9]
Here is a geometry-optimized Gd3Au5S12 structure from Alexandria. Energies are from PBE-GGA.

Cell: 13.2969 13.2969 13.2969 Å, 109.47 109.47 109.47°
Closest atoms and distances in Å follow each position.
Atoms (fractional coordinates):
S  0.2903  0.4209  0.8316  2 Au 2.43-2.49
Au  0.7500  0.1250  0.8750  4 S 2.43
S  0.1684  0.0791  0.7097  2 Au 2.43-2.49
S  0.4587  0.6684  0.0893  2 Au 2.43-2.49
Au  0.0000  0.5000  0.0000  6 S 2.49
Au  0.3750  0.1250  0.7500  4 S 2.43
S  0.6306  0.0413  0.2097  2 Au 2.43-2.49
Gd  0.1250  0.8750  0.7500  8 S 2.85-2.95
Gd  0.2500  0.1250  0.3750  8 S 2.85-2.95
S  0.2097  0.5413  0.6306  2 Au 2.43-2.49
S  0.0893  0.9209  0.1306  2 Au 2.43-2.49
Au  0.7500  0.6250  0.3750  4 S 2.43
Au  0.8750  0.2500  0.6250  4 S 2.43
S  0.4107  0.3694  0.5791  2 Au 2.43-2.49
S  0.3694  0.9587  0.7903  2 Au 2.43-2.49
S  0.6306  0.5893  0.9209  2 Au 2.43-2.49
Gd  0.3750  0.6250  0.2500  8 S 2.85-2.95
Au  0.8750  0.6250  0.7500  4 S 2.43
Au  0.5000  0.0000  0.5000  6 S 2.49
Gd  0.6250  0.2500  0.3750  8 S 2.85-2.95
Gd  0.7500  0.3750  0.1250  8 S 2.85-2.95
S  0.4209  0.2903  0.3316  2 Au 2.43-2.49
S  0.5413  0.3316  0.9107  2 Au 2.43-2.49
Au  0.5000  0.5000  0.0000  6 S 2.49
Au  0.2500  0.8750  0.1250  4 S 2.43
S  0.2903  0.8694  0.9587  2 Au 2.43-2.49
Gd  0.6250  0.3750  0.7500  8 S 2.85-2.95
S  0.1684  0.0893  0.9587  2 Au 2.43-2.49
S  0.8316  0.9209  0.2903  2 Au 2.43-2.49
S  0.5791  0.7097  0.6684  2 Au 2.43-2.49
S  0.9107  0.8316  0.5413  2 Au 2.43-2.49
S  0.7097  0.1306  0.0413  2 Au 2.43-2.49
S  0.8694  0.5791  0.9107  2 Au 2.43-2.49
S  0.1306  0.4209  0.0893  2 Au 2.43-2.49
Gd  0.7500  0.8750  0.6250  8 S 2.85-2.95
S  0.5893  0.6306  0.4209  2 Au 2.43-2.49
S  0.3694  0.4107  0.0791  2 Au 2.43-2.49
S  0.0893  0.1684  0.4587  2 Au 2.43-2.49
S  0.0413  0.6306  0.7097  2 Au 2.43-2.49
Au  0.1250  0.7500  0.3750  4 S 2.43
S  0.9209  0.8316  0.7903  2 Au 2.43-2.49
S  0.5413  0.2097  0.1306  2 Au 2.43-2.49
S  0.9587  0.3694  0.2903  2 Au 2.43-2.49
Gd  0.2500  0.6250  0.8750  8 S 2.85-2.95
S  0.0791  0.9107  0.3694  2 Au 2.43-2.49
Au  0.3750  0.2500  0.1250  4 S 2.43
S  0.3316  0.5413  0.4107  2 Au 2.43-2.49
S  0.2097  0.6684  0.0791  2 Au 2.43-2.49
Au  0.1250  0.3750  0.2500  4 S 2.43
Au  0.0000  0.0000  0.5000  6 S 2.49
S  0.9107  0.0791  0.8694  2 Au 2.43-2.49
S  0.1306  0.7097  0.5413  2 Au 2.43-2.49
Au  0.5000  0.5000  0.5000  6 S 2.49
Gd  0.3750  0.7500  0.6250  8 S 2.85-2.95
S  0.6684  0.4587  0.5893  2 Au 2.43-2.49
S  0.6684  0.2097  0.5791  2 Au 2.43-2.49
Au  0.5000  0.0000  0.0000  6 S 2.49
Gd  0.8750  0.7500  0.1250  8 S 2.85-2.95
S  0.4587  0.7903  0.8694  2 Au 2.43-2.49
S  0.9587  0.5893  0.1684  2 Au 2.43-2.49
S  0.4107  0.0413  0.3316  2 Au 2.43-2.49
S  0.5893  0.9587  0.6684  2 Au 2.43-2.49
S  0.5791  0.8694  0.4107  2 Au 2.43-2.49
Au  0.6250  0.7500  0.8750  4 S 2.43
Gd  0.1250  0.2500  0.8750  8 S 2.85-2.95
S  0.4209  0.1306  0.5893  2 Au 2.43-2.49
S  0.3316  0.7903  0.4209  2 Au 2.43-2.49
Au  0.0000  0.5000  0.5000  6 S 2.49
S  0.7903  0.3316  0.9209  2 Au 2.43-2.49
S  0.7903  0.4587  0.3694  2 Au 2.43-2.49
S  0.0791  0.1684  0.2097  2 Au 2.43-2.49
S  0.0413  0.4107  0.8316  2 Au 2.43-2.49
Au  0.2500  0.3750  0.6250  4 S 2.43
Au  0.0000  0.0000  0.0000  6 S 2.49
Au  0.6250  0.8750  0.2500  4 S 2.43
S  0.7097  0.5791  0.1684  2 Au 2.43-2.49
S  0.8694  0.2903  0.4587  2 Au 2.43-2.49
S  0.8316  0.9107  0.0413  2 Au 2.43-2.49
Gd  0.8750  0.1250  0.2500  8 S 2.85-2.95
S  0.9209  0.0893  0.6306  2 Au 2.43-2.49

Output
space-group type: Ia-3d, No. 230
uncorrected formation energy: -0.573 eV/atom
DOS at the Fermi energy: 0.625 states/eV/atom

***

[10]
Here is a geometry-optimized GdSb2Au structure from Alexandria. Energies are from PBE-GGA.

Cell: 3.5909 3.5909 10.3407 Å, 80.00 80.00 60.00°
Closest atoms and distances in Å follow each position.
Atoms (fractional coordinates):
Sb  0.8982  0.8982  0.3054  3 Au 2.86, 1 Gd 3.09
Sb  0.1018  0.1018  0.6946  3 Au 2.86, 1 Gd 3.09
Gd  0.0000  0.0000  0.0000  2 Sb 3.09
Au  0.5000  0.5000  0.5000  6 Sb 2.86

Output
space-group type: R-3m, No. 166
uncorrected formation energy: 0.055 eV/atom
DOS at the Fermi energy: 0.983 states/eV/atom

***

[11]
Here is a geometry-optimized Gd2SbAu structure from Alexandria. Energies are from PBE-GGA.

Cell: 5.2591 5.2591 5.2591 Å, 60.00 60.00 60.00°
Closest atoms and distances in Å follow each position.
Atoms (fractional coordinates):
Sb  0.0000  0.0000  0.0000  8 Gd 3.22
Au  0.5000  0.5000  0.5000  8 Gd 3.22
Gd  0.2500  0.2500  0.2500  4 Sb 3.22, 4 Au 3.22
Gd  0.7500  0.7500  0.7500  4 Sb 3.22, 4 Au 3.22

Output
space-group type: Fm-3m, No. 225
uncorrected formation energy: -0.848 eV/atom
DOS at the Fermi energy: 1.283 states/eV/atom

***

[12]
Here is a geometry-optimized Gd2SbAu structure from Alexandria. Energies are from PBE-GGA.

Cell: 3.9178 5.1206 5.1206 Å, 90.00 90.00 90.00°
Closest atoms and distances in Å follow each position.
Atoms (fractional coordinates):
Gd  0.0000  0.5000  0.0000  4 Sb 3.22, 4 Au 3.22
Sb  0.5000  0.0000  0.0000  8 Gd 3.22
Gd  0.0000  0.0000  0.5000  4 Sb 3.22, 4 Au 3.22
Au  0.5000  0.5000  0.5000  8 Gd 3.22

Output
space-group type: P4/mmm, No. 123
uncorrected formation energy: -0.886 eV/atom
DOS at the Fermi energy: 0.926 states/eV/atom

***

[13]
Here is a geometry-optimized GdSbAu4 structure from Alexandria. Energies are from PBE-GGA.

Cell: 5.6683 5.6683 5.6683 Å, 60.00 60.00 60.00°
Closest atoms and distances in Å follow each position.
Atoms (fractional coordinates):
Au  0.1254  0.6249  0.6249  6 Au 2.83-2.84
Au  0.6249  0.6249  0.6249  6 Au 2.83-2.84
Sb  0.0000  0.0000  0.0000  12 Au 3.32, 4 Gd 3.47
Au  0.6249  0.1254  0.6249  6 Au 2.83-2.84
Au  0.6249  0.6249  0.1254  6 Au 2.83-2.84
Gd  0.2500  0.2500  0.2500  12 Au 3.32, 4 Sb 3.47

Output
space-group type: F-43m, No. 216
uncorrected formation energy: -0.415 eV/atom
DOS at the Fermi energy: 0.477 states/eV/atom

***

[14]
Here is a geometry-optimized Gd3Sb4Au3 structure from Alexandria. Energies are from PBE-GGA.

Cell: 8.6613 8.6613 8.6613 Å, 109.47 109.47 109.47°
Closest atoms and distances in Å follow each position.
Atoms (fractional coordinates):
Gd  0.2500  0.8750  0.6250  4 Au 3.06, 4 Sb 3.41
Au  0.3750  0.6250  0.7500  4 Sb 2.82, 4 Gd 3.06
Gd  0.7500  0.6250  0.8750  4 Au 3.06, 4 Sb 3.41
Sb  0.0000  0.5000  0.1769  3 Au 2.82
Au  0.2500  0.3750  0.1250  4 Sb 2.82, 4 Gd 3.06
Au  0.6250  0.2500  0.8750  4 Sb 2.82, 4 Gd 3.06
Au  0.8750  0.7500  0.6250  4 Sb 2.82, 4 Gd 3.06
Sb  0.1769  0.0000  0.0000  3 Au 2.82
Au  0.7500  0.1250  0.3750  4 Sb 2.82, 4 Gd 3.06
Sb  0.5000  0.6769  0.5000  3 Au 2.82
Gd  0.6250  0.3750  0.2500  4 Au 3.06, 4 Sb 3.41
Gd  0.1250  0.2500  0.3750  4 Au 3.06, 4 Sb 3.41
Sb  0.8231  0.8231  0.3231  3 Au 2.82
Gd  0.3750  0.7500  0.1250  4 Au 3.06, 4 Sb 3.41
Sb  0.0000  0.5000  0.6769  3 Au 2.82
Sb  0.6769  0.0000  0.0000  3 Au 2.82
Sb  0.5000  0.1769  0.5000  3 Au 2.82
Gd  0.8750  0.1250  0.7500  4 Au 3.06, 4 Sb 3.41
Au  0.1250  0.8750  0.2500  4 Sb 2.82, 4 Gd 3.06
Sb  0.3231  0.3231  0.8231  3 Au 2.82

Output
space-group type: I-43d, No. 220
uncorrected formation energy: -0.846 eV/atom

***

[15]
Here is a geometry-optimized Gd2SbAu structure from Alexandria. Energies are from PBE-GGA.

Cell: 4.2870 4.2870 7.6740 Å, 73.78 73.78 60.00°
Closest atoms and distances in Å follow each position.
Atoms (fractional coordinates):
Sb  0.5000  0.5000  0.5000  6 Gd 3.11
Gd  0.7470  0.7470  0.7590  3 Au 3.03, 3 Sb 3.11
Au  0.0000  0.0000  0.0000  6 Gd 3.03
Gd  0.2530  0.2530  0.2410  3 Au 3.03, 3 Sb 3.11

Output
space-group type: R-3m, No. 166
uncorrected formation energy: -0.866 eV/atom
DOS at the Fermi energy: 1.208 states/eV/atom

***

[16]
Here is a geometry-optimized GdSb2Au structure from Alexandria. Energies are from PBE-GGA.

Cell: 4.2935 4.7566 4.7566 Å, 90.00 90.00 90.00°
Closest atoms and distances in Å follow each position.
Atoms (fractional coordinates):
Gd  0.5000  0.5000  0.5000  8 Sb 3.20, 4 Au 3.36
Au  0.5000  0.0000  0.0000  8 Sb 3.20, 4 Gd 3.36
Sb  0.0000  0.5000  0.0000  4 Gd 3.20, 4 Au 3.20, 4 Sb 3.36
Sb  0.0000  0.0000  0.5000  4 Gd 3.20, 4 Au 3.20, 4 Sb 3.36

Output
space-group type: P4/mmm, No. 123
uncorrected formation energy: -0.584 eV/atom
DOS at the Fermi energy: 0.501 states/eV/atom

***

[17]
Here is a geometry-optimized SrGdSbAu structure from Alexandria. Energies are from PBE-GGA.

Cell: 5.4250 5.4250 5.4250 Å, 60.00 60.00 60.00°
Closest atoms and distances in Å follow each position.
Atoms (fractional coordinates):
Sr  0.2500  0.2500  0.2500  4 Sb 3.32, 4 Au 3.32
Gd  0.7500  0.7500  0.7500  4 Sb 3.32, 4 Au 3.32
Sb  0.5000  0.5000  0.5000  4 Gd 3.32, 4 Sr 3.32
Au  0.0000  0.0000  0.0000  4 Gd 3.32, 4 Sr 3.32

Output
space-group type: F-43m, No. 216
uncorrected formation energy: -0.790 eV/atom
DOS at the Fermi energy: 1.590 states/eV/atom

***

[18]
Here is a geometry-optimized GdThSbAu structure from Alexandria. Energies are from PBE-GGA.

Cell: 5.3292 5.3292 5.3292 Å, 60.00 60.00 60.00°
Closest atoms and distances in Å follow each position.
Atoms (fractional coordinates):
Gd  0.2500  0.2500  0.2500  4 Au 3.26, 4 Sb 3.26
Au  0.0000  0.0000  0.0000  4 Th 3.26, 4 Gd 3.26
Th  0.7500  0.7500  0.7500  4 Sb 3.26, 4 Au 3.26
Sb  0.5000  0.5000  0.5000  4 Gd 3.26, 4 Th 3.26

Output
space-group type: F-43m, No. 216
uncorrected formation energy: -0.692 eV/atom
DOS at the Fermi energy: 1.062 states/eV/atom

***

[19]
Here is a geometry-optimized Gd2ScAu structure from Alexandria. Energies are from PBE-GGA.

Cell: 3.6988 3.6988 7.6388 Å, 90.00 90.00 90.00°
Closest atoms and distances in Å follow each position.
Atoms (fractional coordinates):
Au  0.5000  0.5000  0.0000  8 Gd 3.14
Sc  0.5000  0.5000  0.5000  8 Gd 3.34, 4 Sc 3.70
Gd  0.0000  0.0000  0.7720  4 Au 3.14, 4 Sc 3.34, 1 Gd 3.48
Gd  0.0000  0.0000  0.2280  4 Au 3.14, 4 Sc 3.34, 1 Gd 3.48

Output
space-group type: P4/mmm, No. 123
energy relative to the elements: -35.7 kJ per mole of atoms
DOS at the Fermi energy: 1.114 states/eV/atom

***

[20]
Here is a geometry-optimized GdScAu2 structure from Alexandria. Energies are from PBE-GGA.

Cell: 3.4729 3.4729 7.1891 Å, 90.00 90.00 90.00°
Closest atoms and distances in Å follow each position.
Atoms (fractional coordinates):
Gd  0.5000  0.5000  0.5000  8 Au 3.17, 4 Gd 3.47
Sc  0.5000  0.5000  0.0000  8 Au 2.92
Au  0.0000  0.0000  0.2202  4 Sc 2.92, 1 Au 3.17, 4 Gd 3.17
Au  0.0000  0.0000  0.7798  4 Sc 2.92, 1 Au 3.17, 4 Gd 3.17

Output
space-group type: P4/mmm, No. 123
energy relative to the elements: -78.4 kJ per mole of atoms
DOS at the Fermi energy: 0.603 states/eV/atom